# 1
PBE-GGA DyIn4, relaxed; ΔE to the lowest computed polymorph = 0.0 meV per atom; energy relative to the elements = 0.06 eV per atom; space group = I4/mmm (139); E = -3.05 eV per atom; total magnetization = 0.00 μB/cell
1.0
-2.582 2.582 5.322
2.582 -2.582 5.322
2.582 2.582 -5.322
Dy In
1 4
Direct
0.000 0.000 0.000
0.250 0.750 0.500
0.373 0.373 0.000
0.627 0.627 0.000
0.750 0.250 0.500



# 2
PBE-GGA Y2TlAu2, relaxed; energy relative to the elements = -0.47 eV per atom; space group = I4/mmm (139); E = -4.84 eV per atom; total magnetization = 0.00 μB/cell
1.0
-2.664 2.664 4.870
2.664 -2.664 4.870
2.664 2.664 -4.870
Y Tl Au
2 1 2
Direct
0.250 0.750 0.500
0.750 0.250 0.500
0.000 0.000 0.000
0.366 0.366 0.000
0.634 0.634 0.000



# 3
PBE-GGA LaTb3Sm4S8, relaxed; space group = R-3m (166); E = -6.45 eV per atom; ΔE_f (raw) = -32.446 eV/f.u.; total magnetization = 0.00 μB/cell
1.0
4.000 2.309 6.529
-4.000 2.309 6.529
0.000 -4.618 6.529
La Tb Sm S
1 3 4 8
Direct
0.000 0.000 0.000
0.000 0.500 0.500
0.500 0.000 0.500
0.500 0.500 0.000
0.000 0.000 0.500
0.000 0.500 0.000
0.500 0.000 0.000
0.500 0.500 0.500
0.253 0.253 0.253
0.253 0.253 0.741
0.253 0.741 0.253
0.259 0.747 0.747
0.741 0.253 0.253
0.747 0.259 0.747
0.747 0.747 0.259
0.747 0.747 0.747



# 4
PBE-GGA TePd4Pt4, relaxed; space group = I4/mmm (139); E = -5.45 eV per atom; ΔE_f (raw) = -0.955 eV/f.u.; total magnetization = 0.00 μB/cell
1.0
-4.261 4.261 1.997
4.261 -4.261 1.997
4.261 4.261 -1.997
Te Pd Pt
1 4 4
Direct
0.000 0.000 0.000
0.332 0.332 0.665
0.332 0.668 0.000
0.668 0.332 0.000
0.668 0.668 0.335
0.000 0.336 0.336
0.000 0.664 0.664
0.336 0.000 0.336
0.664 0.000 0.664



# 5
PBE-GGA PrNiSnH2, relaxed; space group = P6_3/mmc (194); E = -4.80 eV per atom; total magnetization = 0.00 μB/cell
1.0
4.403 0.000 0.000
-2.201 3.813 0.000
0.000 0.000 8.643
Pr Ni Sn H
2 2 2 4
Direct
0.000 0.000 0.000
0.000 0.000 0.500
0.333 0.667 0.250
0.667 0.333 0.750
0.333 0.667 0.750
0.667 0.333 0.250
0.333 0.667 0.065
0.333 0.667 0.435
0.667 0.333 0.565
0.667 0.333 0.935



# 6
PBE-GGA NaSmIn2Cl6, relaxed; space group = R3 (146); E = -3.87 eV per atom; ΔE_f (raw) = -16.089 eV/f.u.; total magnetization = 0.00 μB/cell
1.0
3.808 2.199 6.319
-3.808 2.199 6.319
0.000 -4.398 6.319
Na Sm In Cl
1 1 2 6
Direct
0.000 0.000 0.000
0.495 0.495 0.495
0.278 0.278 0.278
0.783 0.783 0.783
0.163 0.712 0.340
0.231 0.661 0.815
0.340 0.163 0.712
0.661 0.815 0.231
0.712 0.340 0.163
0.815 0.231 0.661



# 7
PBE-GGA Pm3ErO, relaxed; space group = Pm-3m (221); E = -5.86 eV per atom; ΔE_f (raw) = -5.552 eV/f.u.; total magnetization = 0.00 μB/cell
1.0
5.050 0.000 0.000
0.000 5.050 0.000
0.000 0.000 5.050
Pm Er O
3 1 1
Direct
0.000 0.000 0.500
0.000 0.500 0.000
0.500 0.000 0.000
0.500 0.500 0.500
0.000 0.000 0.000



# 8
PBE-GGA Pr4Dy19Th6, relaxed; energy relative to the elements = 0.43 eV per atom; space group = I23 (197); E = -4.78 eV per atom; total magnetization = 0.00 μB/cell
1.0
-6.259 6.259 6.259
6.259 -6.259 6.259
6.259 6.259 -6.259
Pr Dy Th
4 19 6
Direct
0.000 0.000 0.359
0.000 0.359 0.000
0.359 0.000 0.000
0.641 0.641 0.641
0.000 0.000 0.000
0.000 0.265 0.265
0.000 0.735 0.735
0.018 0.213 0.676
0.195 0.982 0.658
0.213 0.676 0.018
0.265 0.000 0.265
0.265 0.265 0.000
0.324 0.537 0.342
0.342 0.324 0.537
0.463 0.787 0.805
0.537 0.342 0.324
0.658 0.195 0.982
0.676 0.018 0.213
0.735 0.000 0.735
0.735 0.735 0.000
0.787 0.805 0.463
0.805 0.463 0.787
0.982 0.658 0.195
0.129 0.500 0.629
0.371 0.871 0.500
0.500 0.371 0.871
0.500 0.629 0.129
0.629 0.129 0.500
0.871 0.500 0.371



# 9
PBE-GGA Dy3Al3Cd, relaxed; energy relative to the elements = -0.38 eV per atom; space group = C2/m (12); E = -4.09 eV per atom; total magnetization = 0.00 μB/cell
1.0
5.530 -2.275 0.000
5.530 2.275 0.000
-4.719 0.000 13.543
Dy Al Cd
6 6 2
Direct
0.030 0.030 0.377
0.102 0.102 0.922
0.237 0.237 0.217
0.763 0.763 0.783
0.898 0.898 0.078
0.970 0.970 0.623
0.377 0.377 0.451
0.391 0.391 0.927
0.472 0.472 0.772
0.528 0.528 0.228
0.609 0.609 0.073
0.623 0.623 0.549
0.257 0.257 0.605
0.743 0.743 0.395



# 10
PBE-GGA Cd2In7Bi2, relaxed; energy relative to the elements = 0.04 eV per atom; space group = C2/m (12); E = -2.57 eV per atom; total magnetization = 0.00 μB/cell
1.0
3.644 -4.564 0.000
3.644 4.564 0.000
-1.622 0.000 9.242
Cd In Bi
2 7 2
Direct
0.182 0.182 0.353
0.818 0.818 0.647
0.000 0.000 0.000
0.204 0.576 0.138
0.249 0.249 0.734
0.424 0.796 0.862
0.576 0.204 0.138
0.751 0.751 0.266
0.796 0.424 0.862
0.271 0.729 0.500
0.729 0.271 0.500



# 11
PBE-GGA Rb2CdAuF6, relaxed; space group = I4/mmm (139); E = -3.74 eV per atom; ΔE_f (raw) = -20.081 eV/f.u.; total magnetization = 1.00 μB/cell
1.0
-3.257 3.257 4.403
3.257 -3.257 4.403
3.257 3.257 -4.403
Rb Cd Au F
2 1 1 6
Direct
0.250 0.750 0.500
0.750 0.250 0.500
0.000 0.000 0.000
0.500 0.500 0.000
0.240 0.240 0.480
0.240 0.760 0.000
0.261 0.261 0.000
0.739 0.739 0.000
0.760 0.240 0.000
0.760 0.760 0.520



# 12
PBE-GGA KFeIr2, relaxed; ΔE to the lowest computed polymorph = 776.8 meV per atom; energy relative to the elements = 1.22 eV per atom; space group = P4/mmm (123); E = -5.60 eV per atom; total magnetization = 4.14 μB/cell
1.0
3.977 0.000 0.000
0.000 3.977 0.000
0.000 0.000 4.350
K Fe Ir
1 1 2
Direct
0.000 0.000 0.000
0.500 0.500 0.000
0.000 0.500 0.500
0.500 0.000 0.500



# 13
PBE-GGA TaHgOs2, relaxed; energy relative to the elements = 0.72 eV per atom; space group = F-43m (216); E = -7.93 eV per atom; total magnetization = 0.00 μB/cell
1.0
0.000 3.223 3.223
3.223 0.000 3.223
3.223 3.223 0.000
Ta Hg Os
1 1 2
Direct
0.000 0.000 0.000
0.750 0.750 0.750
0.250 0.250 0.250
0.500 0.500 0.500



# 14
PBE-GGA Th2Ge3Rh2, relaxed; ΔE to the lowest computed polymorph = 0.0 meV per atom; energy relative to the elements = -0.86 eV per atom; space group = Cmcm (63); E = -7.06 eV per atom; total magnetization = 0.00 μB/cell
1.0
2.128 -9.344 0.000
2.128 9.344 0.000
0.000 0.000 7.115
Th Ge Rh
4 6 4
Direct
0.054 0.946 0.750
0.161 0.839 0.250
0.839 0.161 0.750
0.946 0.054 0.250
0.218 0.782 0.750
0.436 0.564 0.563
0.436 0.564 0.937
0.564 0.436 0.063
0.564 0.436 0.437
0.782 0.218 0.250
0.306 0.694 0.046
0.306 0.694 0.454
0.694 0.306 0.546
0.694 0.306 0.954



# 15
PBE-GGA TlRe2H, relaxed; ΔE to the lowest computed polymorph = 826.3 meV per atom; space group = Fm-3m (225); E = -5.83 eV per atom; total magnetization = 0.00 μB/cell
1.0
0.000 3.101 3.101
3.101 0.000 3.101
3.101 3.101 0.000
Tl Re H
1 2 1
Direct
0.000 0.000 0.000
0.250 0.250 0.250
0.750 0.750 0.750
0.500 0.500 0.500



# 16
PBE-GGA Tm3OsC, relaxed; energy relative to the elements = -0.28 eV per atom; space group = C2/m (12); E = -7.06 eV per atom; total magnetization = 0.00 μB/cell
1.0
5.522 -2.455 0.000
5.522 2.455 0.000
-3.108 0.000 7.409
Tm Os C
6 2 2
Direct
0.102 0.102 0.220
0.160 0.160 0.649
0.370 0.370 0.095
0.630 0.630 0.905
0.840 0.840 0.351
0.898 0.898 0.780
0.402 0.402 0.538
0.598 0.598 0.462
0.135 0.135 0.942
0.865 0.865 0.058



# 17
PBE-GGA La4Pm3Pt4, relaxed; energy relative to the elements = -0.79 eV per atom; space group = Immm (71); E = -6.07 eV per atom; total magnetization = 0.00 μB/cell
1.0
-2.413 3.908 8.092
2.413 -3.908 8.092
2.413 3.908 -8.092
La Pm Pt
4 3 4
Direct
0.055 0.834 0.221
0.388 0.166 0.221
0.612 0.834 0.779
0.945 0.166 0.779
0.000 0.500 0.500
0.407 0.407 0.000
0.593 0.593 0.000
0.197 0.697 0.500
0.314 0.000 0.314
0.686 0.000 0.686
0.803 0.303 0.500



# 18
PBE-GGA CsTbSnS3, relaxed; space group = P2_1/m (11); E = -5.03 eV per atom; ΔE_f (raw) = -8.333 eV/f.u.; total magnetization = 0.00 μB/cell
1.0
8.850 0.000 0.000
0.000 4.085 0.000
-4.019 0.000 10.995
Cs Tb Sn S
2 2 2 6
Direct
0.216 0.250 0.250
0.784 0.750 0.750
0.369 0.750 0.855
0.631 0.250 0.145
0.156 0.250 0.571
0.844 0.750 0.429
0.135 0.250 0.783
0.357 0.750 0.612
0.409 0.750 0.096
0.591 0.250 0.904
0.643 0.250 0.388
0.865 0.750 0.217



# 19
PBE-GGA Na4Pu3RhS8, relaxed; space group = R-3m (166); E = -6.83 eV per atom; ΔE_f (raw) = -20.683 eV/f.u.; total magnetization = 14.77 μB/cell
1.0
3.892 2.247 6.673
-3.892 2.247 6.673
0.000 -4.495 6.673
Na Pu Rh S
4 3 1 8
Direct
0.000 0.000 0.000
0.000 0.500 0.500
0.500 0.000 0.500
0.500 0.500 0.000
0.000 0.000 0.500
0.000 0.500 0.000
0.500 0.000 0.000
0.500 0.500 0.500
0.243 0.243 0.243
0.262 0.728 0.728
0.272 0.272 0.738
0.272 0.738 0.272
0.728 0.262 0.728
0.728 0.728 0.262
0.738 0.272 0.272
0.757 0.757 0.757



# 20
PBE-GGA PbBrCl, relaxed; ΔE to the lowest computed polymorph = 6.0 meV per atom; space group = Pnma (62); E = -3.43 eV per atom; ΔE_f (raw) = -3.055 eV/f.u.; total magnetization = 0.00 μB/cell
1.0
7.895 0.000 0.000
0.000 4.641 0.000
0.000 0.000 9.520
Pb Br Cl
4 4 4
Direct
0.247 0.250 0.089
0.253 0.750 0.589
0.747 0.250 0.411
0.753 0.750 0.911
0.021 0.250 0.835
0.479 0.750 0.335
0.521 0.250 0.665
0.979 0.750 0.165
0.141 0.250 0.427
0.359 0.750 0.927
0.641 0.250 0.073
0.859 0.750 0.573



# 21
PBE-GGA Pr4TlGaHg2, relaxed; energy relative to the elements = -0.46 eV per atom; space group = R-3m (166); E = -3.60 eV per atom; total magnetization = 1.16 μB/cell
1.0
2.729 1.575 8.896
-2.729 1.575 8.896
0.000 -3.151 8.896
Pr Tl Ga Hg
4 1 1 2
Direct
0.120 0.120 0.120
0.370 0.370 0.370
0.630 0.630 0.630
0.880 0.880 0.880
0.500 0.500 0.500
0.000 0.000 0.000
0.246 0.246 0.246
0.754 0.754 0.754



# 22
PBE-GGA Y2ReSb, relaxed; space group = P4mm (99); E = -7.41 eV per atom; ΔE_f (raw) = -0.130 eV/f.u.; total magnetization = 0.00 μB/cell
1.0
3.440 0.000 0.000
0.000 3.440 0.000
0.000 0.000 8.350
Y Re Sb
2 1 1
Direct
0.000 0.000 0.000
0.500 0.500 0.363
0.000 0.000 0.586
0.500 0.500 0.746